3
Lattice="-1.566 1.566 5.820 1.566 -1.566 5.820 1.566 1.566 -5.820" Properties=species:S:1:pos:R:3 comment="Ag2Hg, relaxed, DFT GGA-PBE" e_above_lowest_polymorph_mev_per_atom=0 delta_e_f_ev_per_atom=0.05 rho_g_cm3=12.1 e_tot_ev_per_atom=-1.928 pbc="T T T"
Ag 0.000 0.000 7.810
Ag 0.000 0.000 3.829
Hg 0.000 0.000 0.000

=====

9
Lattice="7.564 0.000 0.000 -3.782 6.550 0.000 0.000 0.000 4.065" Properties=species:S:1:pos:R:3 comment="Sm3Mg3PdPt2, relaxed, DFT GGA-PBE" rho_g_cm3=8.4 magnetic_moment_mub_per_fu=0.008 e_tot_ev_per_atom=-4.854 pbc="T T T"
Pd 0.000 0.000 0.000
Sm 2.209 3.826 0.000
Mg 5.727 0.000 2.033
Mg 0.919 1.591 2.033
Sm 3.146 0.000 0.000
Sm -1.573 2.724 0.000
Mg -2.863 4.959 2.033
Pt 3.782 2.183 2.033
Pt 0.000 4.367 2.033

=====

3
Lattice="4.737 -1.145 -0.088 1.395 -4.641 0.519 1.850 -2.428 -3.800" Properties=species:S:1:pos:R:3 comment="SmScTa, relaxed, DFT GGA-PBE" e_above_lowest_polymorph_mev_per_atom=0 delta_e_f_ev_per_atom=1.18 rho_g_cm3=7.6 magnetic_moment_mub_per_fu=1.352 e_tot_ev_per_atom=-6.455 pbc="T T T"
Sc 0.000 0.000 0.000
Ta 5.987 -6.161 -2.527
Sm 1.996 -2.054 -0.842

=====

6
Lattice="0.000 4.715 4.715 4.715 0.000 4.715 4.715 4.715 0.000" Properties=species:S:1:pos:R:3 comment="PrGd2, relaxed, DFT GGA-PBE" e_above_lowest_polymorph_mev_per_atom=0 delta_e_f_ev_per_atom=0.27 rho_g_cm3=7.2 magnetic_moment_mub_per_fu=0.554 e_tot_ev_per_atom=-4.429 pbc="T T T"
Gd 3.536 5.893 3.536
Gd 5.893 3.536 3.536
Pr 2.357 2.357 2.357
Pr 0.000 0.000 0.000
Gd 5.893 5.893 5.893
Gd 3.536 3.536 5.893

=====

4
Lattice="-1.268 0.107 4.853 -4.734 -0.931 1.377 -1.124 -4.264 2.394" Properties=species:S:1:pos:R:3 comment="LuCdCuPb, relaxed, DFT GGA-PBE" e_above_lowest_polymorph_mev_per_atom=9 rho_g_cm3=10.4 magnetic_moment_mub_per_fu=0.003 e_tot_ev_per_atom=-3.234 pbc="T T T"
Cu -5.345 -3.815 6.468
Pb 0.000 0.000 0.000
Lu -3.563 -2.544 4.312
Cd -1.782 -1.272 2.156

=====

6
Lattice="6.755 -1.418 -0.228 2.239 -6.378 1.416 2.526 -3.975 -5.052" Properties=species:S:1:pos:R:3 comment="Ba2Au, relaxed, DFT GGA-PBE" rho_g_cm3=6.7 e_tot_ev_per_atom=-1.982 pbc="T T T"
Au 2.880 -2.943 -0.966
Ba 5.937 -5.370 0.112
Au 0.000 0.000 0.000
Ba 3.822 -6.648 -2.301
Ba 6.081 -4.168 -3.123
Ba 7.200 -7.357 -2.414

=====

Repeat the third record exactly.
3
Lattice="4.737 -1.145 -0.088 1.395 -4.641 0.519 1.850 -2.428 -3.800" Properties=species:S:1:pos:R:3 comment="SmScTa, relaxed, DFT GGA-PBE" e_above_lowest_polymorph_mev_per_atom=0 delta_e_f_ev_per_atom=1.18 rho_g_cm3=7.6 magnetic_moment_mub_per_fu=1.352 e_tot_ev_per_atom=-6.455 pbc="T T T"
Sc 0.000 0.000 0.000
Ta 5.987 -6.161 -2.527
Sm 1.996 -2.054 -0.842